The following is a PBEsol calculation of a relaxed structure of RbZn4B3O9, from Alexandria via LeMat-Bulk.

symmetry = P2/c, No. 13

Unit cell a=6.902 b=5.007 c=12.668 alpha=90.00 beta=92.88 gamma=90.00
Atoms (fractional coordinates):
Rb  0.000  0.229  0.250
Rb  0.000  0.771  0.750
Zn  0.210  0.337  0.560
Zn  0.210  0.663  0.060
Zn  0.486  0.148  0.124
Zn  0.486  0.852  0.624
Zn  0.514  0.148  0.376
Zn  0.514  0.852  0.876
Zn  0.790  0.337  0.940
Zn  0.790  0.663  0.440
B  0.187  0.149  0.953
B  0.187  0.851  0.453
B  0.500  0.348  0.750
B  0.500  0.652  0.250
B  0.813  0.149  0.547
B  0.813  0.851  0.047
O  0.037  0.244  0.891
O  0.037  0.756  0.391
O  0.263  0.109  0.436
O  0.263  0.891  0.936
O  0.273  0.294  0.036
O  0.273  0.706  0.536
O  0.408  0.211  0.668
O  0.408  0.789  0.168
O  0.500  0.375  0.250
O  0.500  0.625  0.750
O  0.592  0.211  0.832
O  0.592  0.789  0.332
O  0.727  0.294  0.464
O  0.727  0.706  0.964
O  0.737  0.109  0.064
O  0.737  0.891  0.564
O  0.963  0.244  0.609
O  0.963  0.756  0.109



The following is a PBEsol calculation of a relaxed structure of Cr2IrCl, from Alexandria via LeMat-Bulk.

symmetry = F-43m, No. 216
polymorph energy (0 for the lowest one) = 354 meV/atom

Unit cell a=6.041 b=6.041 c=6.041 alpha=90.00 beta=90.00 gamma=90.00
Atoms (fractional coordinates):
Cr  0.000  0.000  0.000
Cr  0.000  0.500  0.500
Cr  0.250  0.250  0.250
Cr  0.250  0.750  0.750
Cr  0.500  0.000  0.500
Cr  0.500  0.500  0.000
Cr  0.750  0.250  0.750
Cr  0.750  0.750  0.250
Ir  0.250  0.250  0.750
Ir  0.250  0.750  0.250
Ir  0.750  0.250  0.250
Ir  0.750  0.750  0.750
Cl  0.000  0.000  0.500
Cl  0.000  0.500  0.000
Cl  0.500  0.000  0.000
Cl  0.500  0.500  0.500



The following is a PBEsol calculation of a relaxed structure of Sc3Ag, from Alexandria via LeMat-Bulk.

formation energy from the elements = -0.0532 eV per atom
symmetry = Pmmn, No. 59
polymorph energy (0 for the lowest one) = 96 meV/atom

Unit cell a=4.848 b=6.203 c=5.550 alpha=90.00 beta=90.00 gamma=90.00
Atoms (fractional coordinates):
Sc  0.250  0.006  0.157
Sc  0.250  0.250  0.629
Sc  0.250  0.494  0.157
Sc  0.750  0.506  0.843
Sc  0.750  0.750  0.371
Sc  0.750  0.994  0.843
Ag  0.250  0.750  0.671
Ag  0.750  0.250  0.329



The following is a PBEsol calculation of a relaxed structure of CdAsAuSe2, from Alexandria via LeMat-Bulk.

symmetry = P4/mmm, No. 123

Unit cell a=5.113 b=5.113 c=4.819 alpha=90.00 beta=90.00 gamma=90.00
Atoms (fractional coordinates):
Cd  0.000  0.000  0.000
As  0.500  0.500  0.000
Au  0.500  0.500  0.500
Se  0.000  0.500  0.500
Se  0.500  0.000  0.500



The following is a PBEsol calculation of a relaxed structure of BWBr3, from Alexandria via LeMat-Bulk.

symmetry = Pm-3m, No. 221

Unit cell a=5.049 b=5.049 c=5.049 alpha=90.00 beta=90.00 gamma=90.00
Atoms (fractional coordinates):
B  0.000  0.000  0.000
W  0.500  0.500  0.500
Br  0.000  0.500  0.500
Br  0.500  0.000  0.500
Br  0.500  0.500  0.000



The following is a PBEsol calculation of a relaxed structure of ZrH6O2F6, from Alexandria via LeMat-Bulk.

symmetry = C2/c, No. 15

Unit cell a=7.238 b=7.238 c=6.687 alpha=100.82 beta=100.82 gamma=120.77
Atoms (fractional coordinates):
Zr  0.047  0.953  0.750
Zr  0.953  0.047  0.250
H  0.153  0.620  0.875
H  0.229  0.589  0.426
H  0.278  0.484  0.949
H  0.380  0.847  0.625
H  0.411  0.771  0.074
H  0.484  0.278  0.449
H  0.516  0.722  0.551
H  0.589  0.229  0.926
H  0.620  0.153  0.375
H  0.722  0.516  0.051
H  0.771  0.411  0.574
H  0.847  0.380  0.125
O  0.258  0.616  0.997
O  0.384  0.742  0.503
O  0.616  0.258  0.497
O  0.742  0.384  0.003
F  0.000  0.372  0.301
F  0.000  0.628  0.699
F  0.071  0.891  0.440
F  0.109  0.929  0.060
F  0.290  0.294  0.888
F  0.294  0.290  0.388
F  0.372  0.000  0.801
F  0.628  0.000  0.199
F  0.706  0.710  0.612
F  0.710  0.706  0.112
F  0.891  0.071  0.940
F  0.929  0.109  0.560



Number 1: DFT total energy -0.235 hartree per atom. Number 2: DFT total energy -0.266 hartree per atom. Number 3: DFT total energy -0.214 hartree per atom. Number 4: DFT total energy -0.109 hartree per atom. Number 5: DFT total energy -0.147 hartree per atom. Number 6: DFT total energy -0.205 hartree per atom.